This record from Alexandria describes PmPr8Er6 after structural relaxation. The functional is PBE-GGA.

As for the space group: R-3. The value obtained for the volume is 34.223 Å³ per atom. Its formation energy is 0.16 eV per atom. For the energy above the most stable polymorph in this dataset, the calculation gives 0 meV per atom.

abc: 9.345 9.345 8.671
angles: 57.40 57.40 60.00
Sites, in units of the cell vectors:
Pm  0.000  0.000  0.000
Pr  0.337  0.227  0.521
Pr  0.773  0.085  0.479
Pr  0.085  0.663  0.479
Pr  0.574  0.574  0.278
Pr  0.426  0.426  0.722
Pr  0.915  0.337  0.521
Pr  0.227  0.915  0.521
Pr  0.663  0.773  0.479
Er  0.446  0.893  0.923
Er  0.107  0.261  0.077
Er  0.261  0.554  0.077
Er  0.739  0.446  0.923
Er  0.893  0.739  0.923
Er  0.554  0.107  0.077